Below is a relaxed ScIn2Ru crystal, with properties calculated at the GGA-PBE level.

a = 3.245 Å, b = 3.959 Å, c = 6.043 Å
α = 90.00°, β = 90.00°, γ = 90.00°
Fractional positions:
In: 0.000 0.000 0.019
In: 0.000 0.000 0.481
Ru: 0.500 0.500 0.250
Sc: 0.500 0.500 0.750

Calculated values
Energy relative to the elements in eV per atom: -0.115
Space group: Pmmm
Fermi-level density of states in states/eV per atom: 0.913

***

Below is a relaxed Pr2IrPb crystal, with properties calculated at the GGA-PBE level.

a = 3.616 Å, b = 3.616 Å, c = 8.345 Å
α = 90.00°, β = 90.00°, γ = 90.00°
Fractional positions:
Pb: 0.500 0.500 0.500
Pr: 0.000 0.000 0.795
Pr: 0.000 0.000 0.205
Ir: 0.500 0.500 0.000

Calculated values
Energy relative to the elements in eV per atom: -0.546
Space group: P4/mmm
Fermi-level density of states in states/eV per atom: 0.568

***

Below is a relaxed Cr2TcPt crystal, with properties calculated at the GGA-PBE level.

a = 2.816 Å, b = 2.816 Å, c = 6.831 Å
α = 90.00°, β = 90.00°, γ = 90.00°
Fractional positions:
Cr: 0.000 0.000 0.018
Cr: 0.500 0.500 0.215
Pt: 0.000 0.000 0.483
Tc: 0.500 0.500 0.785

Calculated values
Energy relative to the elements in eV per atom: 0.011
Space group: P4mm
Fermi-level density of states in states/eV per atom: 0.938